(1)
A plane-wave DFT calculation with PBE was carried out for DyTm5Pt2 after structural relaxation.

For the calculated total energy, the calculation gives -5.512 eV per atom. The density of states at the Fermi level is 17.6 states/eV/cell. For the volume, the calculation gives 27.91 A^3/atom. As for the mass density: 10.392 g cm⁻³.

The space group is Immm (No. 71) and the conventional cell measures 4.055, 7.279 and 15.129 Å, with angles of 90.00, 90.00 and 90.00 degrees. The inequivalent atoms are Dy at (0.000, 0.000, 0.000), Tm at (0.000, 0.253, 0.347), Tm at (0.000, 0.500, 0.000) and Pt at (0.000, 0.500, 0.195).

***

(2)
A plane-wave DFT calculation with PBE was carried out for CaSmF after structural relaxation.

For the calculated total energy, the calculation gives -4.413 eV per atom. The energy above the most stable polymorph in this dataset comes out at 0 meV/atom. The density of states at the Fermi level is 1.8 states/eV/cell. For the volume, the calculation gives 24.34 A^3/atom. As for the mass density: 4.763 g cm⁻³.

The space group is P3m1 (No. 156) and the conventional cell measures 3.6481, 3.6481 and 6.3356 Å, with angles of 90.00, 90.00 and 120.00 degrees. The inequivalent atoms are Ca at (0.0000, 0.0000, 0.0000), Sm at (0.3333, 0.6667, 0.5208) and F at (0.6667, 0.3333, 0.2171).